Entry 1:
# InAs2W, relaxed, DFT GGA-PBE
data_InAs2W
_symmetry_space_group_name_H-M 'P 4/m m m'
_symmetry_Int_Tables_number 123
_symmetry_space_group_name_Hall '-P 4 2'
_cell_length_a 3.1868
_cell_length_b 3.1868
_cell_length_c 7.7499
_cell_angle_alpha 90.00
_cell_angle_beta 90.00
_cell_angle_gamma 90.00
loop_
_atom_site_label
_atom_site_type_symbol
_atom_site_fract_x
_atom_site_fract_y
_atom_site_fract_z
In1 In 0.0000 0.0000 0.0000
As1 As 0.5000 0.5000 0.3096
W1 W 0.0000 0.0000 0.5000
# energy: -6.1605 eV per atom
# N(E_F): 2.42 states/eV/cell
# crystal system: tetragonal
# E_form: 87.2 meV per atom
# magnetization: 0.000 Bohr magnetons per cell


Entry 2:
# InAs4W2, relaxed, DFT GGA-PBE
data_InAs4W2
_symmetry_space_group_name_H-M 'I 4/m m m'
_symmetry_Int_Tables_number 139
_symmetry_space_group_name_Hall '-I 4 2'
_cell_length_a 5.1278
_cell_length_b 5.1278
_cell_length_c 13.1456
_cell_angle_alpha 90.00
_cell_angle_beta 90.00
_cell_angle_gamma 90.00
loop_
_atom_site_label
_atom_site_type_symbol
_atom_site_fract_x
_atom_site_fract_y
_atom_site_fract_z
In1 In 0.0000 0.0000 0.0000
As1 As 0.0000 0.0000 0.2252
As2 As 0.0000 0.5000 0.0000
W1 W 0.0000 0.0000 0.4056
# energy: -5.6404 eV per atom
# N(E_F): 10.83 states/eV/cell
# crystal system: tetragonal
# E_form: 1108.6 meV per atom
# magnetization: 4.122 Bohr magnetons per cell


> Which of these has the highest energy?

InAs4W2


> Which of these has the highest N(E_F)?

InAs4W2


> Which value of E_form does entry 1 give?

87.2 meV per atom


> The lowest E_form belongs to which entry?

InAs2W